Record 1
A plane-wave DFT calculation with PBE was carried out for Mg2MnRu2 after structural relaxation.

a = 6.102 Å, b = 6.102 Å, c = 4.393 Å
α = 90.00°, β = 90.00°, γ = 90.00°
Sites, in units of the cell vectors:
Mg 0.173 0.327 0.000
Mg 0.327 0.827 0.000
Mg 0.673 0.173 0.000
Mg 0.827 0.673 0.000
Mn 0.000 0.000 0.500
Mn 0.500 0.500 0.500
Ru 0.141 0.641 0.500
Ru 0.359 0.141 0.500
Ru 0.641 0.859 0.500
Ru 0.859 0.359 0.500

Computed properties:
total magnetic moment: 0.0 μB/cell
mass density: 6.207 g/cm3
raw total energy: -59.460 eV for the cell shown
formation energy from the elements: 0.236 eV/atom
space group: No. 127

---

Record 2
A plane-wave DFT calculation with PBE was carried out for SrMgMnRu2 after structural relaxation.

a = 4.530 Å, b = 4.530 Å, c = 5.129 Å
α = 90.00°, β = 90.00°, γ = 90.00°
Sites, in units of the cell vectors:
Sr 0.000 0.000 0.000
Mg 0.500 0.500 0.000
Mn 0.000 0.000 0.500
Ru 0.000 0.500 0.500
Ru 0.500 0.000 0.500

Computed properties:
total magnetic moment: 0.0 μB/cell
mass density: 5.821 g/cm3
raw total energy: -26.474 eV for the cell shown
formation energy from the elements: 0.905 eV/atom
space group: No. 123

---

Record 3
A plane-wave DFT calculation with PBE was carried out for MgTaMnRu after structural relaxation.

a = 4.413 Å, b = 4.413 Å, c = 4.413 Å
α = 60.00°, β = 60.00°, γ = 60.00°
Sites, in units of the cell vectors:
Mg 0.000 0.000 0.000
Ta 0.500 0.500 0.500
Mn 0.750 0.750 0.750
Ru 0.250 0.250 0.250

Computed properties:
total magnetic moment: 2.1 μB/cell
mass density: 9.874 g/cm3
raw total energy: -32.243 eV for the cell shown
formation energy from the elements: -0.088 eV/atom
space group: No. 216